A:
Material: SrMg3Au3
Method: DFT, PBE
State: optimized geometry

a b c (Å): 4.6610 9.0029 9.0023
angles (deg): 120.02 90.00 90.00
Closest atoms and distances in Å follow each position.
Fractional positions:
Au: 0.7500 0.6193 0.5702  4 Mg 2.73-3.05, 2 Au 2.99
Au: 0.2500 0.0492 0.6193  4 Mg 2.73-3.05, 2 Au 2.99
Mg: 0.2500 0.0308 0.2716  4 Au 2.73-3.05
Au: 0.2500 0.5702 0.9508  4 Mg 2.73-3.05, 2 Au 2.99
Mg: 0.2500 0.7284 0.7593  4 Au 2.73-3.05
Au: 0.7500 0.4298 0.0492  4 Mg 2.73-3.05, 2 Au 2.99
Au: 0.2500 0.3807 0.4298  4 Mg 2.73-3.05, 2 Au 2.99
Mg: 0.7500 0.2716 0.2407  4 Au 2.73-3.05
Mg: 0.7500 0.9692 0.7284  4 Au 2.73-3.05
Mg: 0.7500 0.7592 0.0309  4 Au 2.73-3.05
Au: 0.7500 0.9508 0.3807  4 Mg 2.73-3.05, 2 Au 2.99
Mg: 0.2500 0.2408 0.9691  4 Au 2.73-3.05
Sr: 0.7500 0.3333 0.6666  9 Au 3.10-3.33
Sr: 0.2500 0.6667 0.3334  9 Au 3.10-3.33

Properties
As for the space group: P6_3/m (176).

B:
Material: SrMg3Au3
Method: DFT, PBE
State: optimized geometry

a b c (Å): 7.3651 7.3651 7.3651
angles (deg): 90.00 90.00 90.00
Closest atoms and distances in Å follow each position.
Fractional positions:
Au: 0.0000 0.5000 0.7500  4 Mg 2.60
Sr: 0.0000 0.0000 0.0000  12 Mg 4.12, 12 Au 4.12
Au: 0.0000 0.5000 0.2500  4 Mg 2.60
Au: 0.2500 0.0000 0.5000  4 Mg 2.60
Au: 0.7500 0.0000 0.5000  4 Mg 2.60
Mg: 0.5000 0.0000 0.7500  4 Au 2.60
Au: 0.5000 0.7500 0.0000  4 Mg 2.60
Au: 0.5000 0.2500 0.0000  4 Mg 2.60
Mg: 0.7500 0.5000 0.0000  4 Au 2.60
Mg: 0.2500 0.5000 0.0000  4 Au 2.60
Mg: 0.0000 0.2500 0.5000  4 Au 2.60
Mg: 0.0000 0.7500 0.5000  4 Au 2.60
Mg: 0.5000 0.0000 0.2500  4 Au 2.60
Sr: 0.5000 0.5000 0.5000  12 Mg 4.12, 12 Au 4.12

Properties
As for the space group: Pm-3n (223).

Most stable: A. Least stable: B.

A:
Material: Tb2MgAu6
Method: DFT, PBE
State: optimized geometry

a b c (Å): 5.5247 6.3085 6.3085
angles (deg): 59.81 89.94 89.94
Closest atoms and distances in Å follow each position.
Fractional positions:
Au: 0.3112 0.8170 0.8170  1 Mg 2.64, 4 Au 2.85-2.88
Au: 0.6872 0.6352 0.1820  1 Mg 2.64, 4 Au 2.85-2.88
Tb: 0.8330 0.6665 0.6665  12 Au 3.11-3.32
Mg: 0.0000 0.0000 0.0000  6 Au 2.64
Au: 0.6888 0.1830 0.1830  1 Mg 2.64, 4 Au 2.85-2.88
Au: 0.3128 0.8180 0.3648  1 Mg 2.64, 4 Au 2.85-2.88
Au: 0.6872 0.1820 0.6352  1 Mg 2.64, 4 Au 2.85-2.88
Au: 0.3128 0.3648 0.8180  1 Mg 2.64, 4 Au 2.85-2.88
Tb: 0.1670 0.3335 0.3335  12 Au 3.11-3.32

Properties
As for the space group: C2/m (12).

B:
Material: Tb2MgAu6
Method: DFT, PBE
State: optimized geometry

a b c (Å): 5.2052 9.0970 9.0970
angles (deg): 120.51 89.91 89.91
Closest atoms and distances in Å follow each position.
Fractional positions:
Au: 0.2476 0.9110 0.4110  5 Au 2.91-3.09, 3 Mg 2.97-3.06, 2 Tb 2.98
Au: 0.9956 0.8319 0.0004  5 Au 2.97-3.06, 4 Tb 2.99-3.10, 1 Mg 3.01
Tb: 0.0001 0.1627 0.3374  10 Au 2.98-3.10
Au: 0.2524 0.5890 0.0890  5 Au 2.91-3.09, 3 Mg 2.97-3.06, 2 Tb 2.98
Au: 0.4956 0.3318 0.5006  5 Au 2.97-3.07, 4 Tb 2.99-3.10, 1 Mg 3.01
Tb: 0.9999 0.8373 0.6626  10 Au 2.98-3.10
Tb: 0.5001 0.3374 0.1627  10 Au 2.98-3.10
Au: 0.7476 0.4110 0.9110  5 Au 2.91-3.09, 3 Mg 2.97-3.06, 2 Tb 2.98
Mg: 0.2500 0.2498 0.7502  10 Au 2.97-3.06
Tb: 0.4999 0.6626 0.8373  10 Au 2.98-3.10
Au: 0.0044 0.4994 0.6682  5 Au 2.97-3.07, 4 Tb 2.99-3.10, 1 Mg 3.01
Au: 0.4956 0.0004 0.8319  5 Au 2.97-3.06, 4 Tb 2.99-3.10, 1 Mg 3.01
Au: 0.7524 0.0890 0.5890  5 Au 2.91-3.09, 3 Mg 2.97-3.06, 2 Tb 2.98
Au: 0.5044 0.6682 0.4994  5 Au 2.97-3.07, 4 Tb 2.99-3.10, 1 Mg 3.01
Au: 0.5044 0.9996 0.1681  5 Au 2.97-3.06, 4 Tb 2.99-3.10, 1 Mg 3.01
Au: 0.0044 0.1681 0.9996  5 Au 2.97-3.06, 4 Tb 2.99-3.10, 1 Mg 3.01
Au: 0.9956 0.5006 0.3318  5 Au 2.97-3.07, 4 Tb 2.99-3.10, 1 Mg 3.01
Mg: 0.7500 0.7502 0.2498  10 Au 2.97-3.06

Properties
As for the space group: C2/c (15).

Most stable: B. Least stable: A.

A:
Material: TbMg2Au3
Method: DFT, PBE
State: optimized geometry

a b c (Å): 3.4029 3.4029 10.3167
angles (deg): 90.00 90.00 90.00
Closest atoms and distances in Å follow each position.
Fractional positions:
Mg: 0.5000 0.5000 0.1554  8 Au 2.89-2.90, 1 Mg 3.21
Au: 0.0000 0.0000 0.0000  8 Mg 2.89, 2 Au 3.22
Au: 0.0000 0.0000 0.6884  4 Mg 2.90, 4 Tb 3.09, 1 Au 3.22
Mg: 0.5000 0.5000 0.8446  8 Au 2.89-2.90, 1 Mg 3.21
Tb: 0.5000 0.5000 0.5000  8 Au 3.09, 4 Tb 3.40
Au: 0.0000 0.0000 0.3116  4 Mg 2.90, 4 Tb 3.09, 1 Au 3.22

Properties
As for the space group: P4/mmm (123).

B:
Material: TbMg2Au3
Method: DFT, PBE
State: optimized geometry

a b c (Å): 4.7525 4.7525 12.4352
angles (deg): 90.00 90.00 120.00
Closest atoms and distances in Å follow each position.
Fractional positions:
Au: 0.0000 0.0000 0.7767  4 Mg 2.78-2.87, 3 Tb 3.02
Tb: 0.6667 0.3333 0.3257  8 Au 3.02-3.07
Mg: 0.3333 0.6667 0.1544  7 Au 2.87-2.90
Mg: 0.0000 0.0000 0.5000  6 Au 2.87
Au: 0.6667 0.3333 0.5684  3 Mg 2.87, 4 Tb 3.02-3.04
Au: 0.6667 0.3333 0.0785  7 Mg 2.90-2.91, 1 Tb 3.07
Mg: 0.6667 0.3333 0.8456  7 Au 2.87-2.90
Mg: 0.0000 0.0000 0.0000  8 Au 2.78-2.91
Au: 0.3333 0.6667 0.4316  3 Mg 2.87, 4 Tb 3.02-3.04
Tb: 0.3333 0.6667 0.6743  8 Au 3.02-3.07
Au: 0.3333 0.6667 0.9215  7 Mg 2.90-2.91, 1 Tb 3.07
Au: 0.0000 0.0000 0.2233  4 Mg 2.78-2.87, 3 Tb 3.02

Properties
As for the space group: P-3m1 (164).

Most stable: B. Least stable: A.

A:
Material: TbMgAu4
Method: DFT, PBE
State: optimized geometry

a b c (Å): 5.5829 5.5829 5.5829
angles (deg): 60.00 60.00 60.00
Closest atoms and distances in Å follow each position.
Fractional positions:
Tb: 0.0000 0.0000 0.0000  12 Au 3.27, 4 Mg 3.42
Au: 0.6246 0.1262 0.6246  6 Au 2.78-2.80
Au: 0.6246 0.6246 0.1262  6 Au 2.78-2.80
Mg: 0.2500 0.2500 0.2500  12 Au 3.27, 4 Tb 3.42
Au: 0.1262 0.6246 0.6246  6 Au 2.78-2.80
Au: 0.6246 0.6246 0.6246  6 Au 2.78-2.80

Properties
As for the space group: F-43m (216).

B:
Material: TbMgAu4
Method: DFT, PBE
State: optimized geometry

a b c (Å): 4.4183 4.4177 7.1436
angles (deg): 89.98 89.95 89.94
Closest atoms and distances in Å follow each position.
Fractional positions:
Tb: 0.5012 0.4971 0.9981  8 Au 2.96
Au: 0.5011 0.9974 0.7215  2 Mg 2.72, 2 Tb 2.96
Au: 0.5016 0.9969 0.2747  2 Mg 2.73, 2 Tb 2.96
Au: 0.0016 0.4973 0.7216  2 Mg 2.72, 2 Tb 2.96
Au: 0.0009 0.4977 0.2746  2 Mg 2.73, 2 Tb 2.96
Mg: 0.0014 0.9974 0.4984  8 Au 2.72-2.73

Properties
As for the space group: P4/mmm (123).

C:
Material: TbMgAu4
Method: DFT, PBE
State: optimized geometry

a b c (Å): 3.6948 5.1557 7.3243
angles (deg): 101.29 75.39 69.00
Closest atoms and distances in Å follow each position.
Fractional positions:
Mg: 0.0000 0.0000 0.0000  10 Au 2.89-3.04
Au: 0.3491 0.9876 0.3142  2 Mg 2.91, 5 Au 2.92-3.19, 3 Tb 3.03
Tb: 0.5000 0.5000 0.5000  10 Au 3.03
Au: 0.1811 0.4806 0.1572  3 Mg 2.89-3.04, 5 Au 2.92-2.98, 2 Tb 3.03
Au: 0.8189 0.5194 0.8428  3 Mg 2.89-3.04, 5 Au 2.92-2.98, 2 Tb 3.03
Au: 0.6509 0.0124 0.6858  2 Mg 2.91, 5 Au 2.92-3.19, 3 Tb 3.03

Properties
As for the space group: C2/m (12).

Most stable: C. Least stable: B.

A:
Material: Tb3Mg2Au3
Method: DFT, PBE
State: optimized geometry

a b c (Å): 5.8247 8.6143 8.6143
angles (deg): 120.00 90.00 90.00
Closest atoms and distances in Å follow each position.
Fractional positions:
Tb: 0.2500 0.0000 0.7369  5 Au 2.98-3.12
Au: 0.7500 0.3914 0.3914  5 Tb 2.98-3.12, 4 Mg 3.03
Mg: 0.5000 0.3333 0.6667  2 Mg 2.91, 6 Au 3.03
Au: 0.7500 0.6086 0.0000  5 Tb 2.98-3.12, 4 Mg 3.03
Tb: 0.2500 0.7369 0.0000  5 Au 2.98-3.12
Au: 0.2500 0.6086 0.6086  5 Tb 2.98-3.12, 4 Mg 3.03
Au: 0.2500 0.3914 0.0000  5 Tb 2.98-3.12, 4 Mg 3.03
Tb: 0.7500 0.0000 0.2631  5 Au 2.98-3.12
Mg: 0.0000 0.6667 0.3333  2 Mg 2.91, 6 Au 3.03
Mg: 0.0000 0.3333 0.6667  2 Mg 2.91, 6 Au 3.03
Au: 0.2500 0.0000 0.3914  5 Tb 2.98-3.12, 4 Mg 3.03
Mg: 0.5000 0.6667 0.3333  2 Mg 2.91, 6 Au 3.03
Au: 0.7500 0.0000 0.6086  5 Tb 2.98-3.12, 4 Mg 3.03
Tb: 0.2500 0.2631 0.2631  5 Au 2.98-3.12
Tb: 0.7500 0.7369 0.7369  5 Au 2.98-3.12
Tb: 0.7500 0.2631 0.0000  5 Au 2.98-3.12

Properties
As for the space group: P6_3/mcm (193).

B:
Material: Tb3Mg2Au3
Method: DFT, PBE
State: optimized geometry

a b c (Å): 3.5341 5.1517 10.7900
angles (deg): 103.81 99.43 90.00
Closest atoms and distances in Å follow each position.
Fractional positions:
Au: 0.8734 0.8734 0.7467  2 Mg 2.83, 6 Tb 3.12-3.16
Tb: 0.6227 0.6227 0.2453  6 Au 3.09-3.12, 4 Mg 3.45
Tb: 0.5000 0.0000 0.0000  8 Au 3.12-3.16
Tb: 0.3773 0.3773 0.7547  6 Au 3.09-3.12, 4 Mg 3.45
Mg: 0.7339 0.2339 0.4677  2 Au 2.83
Au: 0.0000 0.5000 0.0000  8 Tb 3.09-3.12
Mg: 0.2661 0.7661 0.5323  2 Au 2.83
Au: 0.1266 0.1266 0.2533  2 Mg 2.83, 6 Tb 3.12-3.16

Properties
As for the space group: Immm (71).

Most stable: A. Least stable: B.

A:
Material: MgTcAu2
Method: DFT, PBE
State: optimized geometry

a b c (Å): 4.8999 4.8999 5.2741
angles (deg): 81.72 81.72 32.98
Closest atoms and distances in Å follow each position.
Fractional positions:
Tc: 0.2500 0.2500 0.2500  2 Tc 2.78, 6 Au 2.85-2.87, 4 Mg 2.98
Mg: 0.7500 0.7500 0.7500  2 Mg 2.78, 6 Au 2.86-2.90, 4 Tc 2.98
Au: 0.9976 0.9976 0.0045  6 Au 2.78-3.02, 3 Tc 2.85-2.87, 3 Mg 2.86-2.90
Au: 0.5024 0.5024 0.4955  6 Au 2.78-3.02, 3 Tc 2.85-2.87, 3 Mg 2.86-2.90

Properties
As for the space group: C2/m (12).

B:
Material: MgTcAu2
Method: DFT, PBE
State: optimized geometry

a b c (Å): 2.7938 2.7938 8.6815
angles (deg): 90.00 90.00 90.06
Closest atoms and distances in Å follow each position.
Fractional positions:
Au: 0.5000 0.5000 0.2616  8 Au 2.79-3.09, 4 Mg 2.89
Au: 0.0000 0.0000 0.9873  8 Au 2.79-3.09, 4 Tc 2.87
Tc: 0.5000 0.5000 0.7473  4 Tc 2.79, 4 Au 2.87, 4 Mg 2.89
Mg: 0.0000 0.0000 0.5039  4 Mg 2.79, 4 Au 2.89, 4 Tc 2.89

Properties
As for the space group: P4mm (99).

Most stable: B. Least stable: A.

A:
Material: MgTcAu2
Method: DFT, PBE
State: optimized geometry

a b c (Å): 3.3565 3.3565 6.1038
angles (deg): 90.00 90.00 90.00
Closest atoms and distances in Å follow each position.
Fractional positions:
Tc: 0.5000 0.5000 0.7528  5 Au 2.77-2.98, 4 Mg 2.84
Mg: 0.0000 0.0000 0.4962  5 Au 2.77-3.00, 4 Tc 2.84
Au: 0.0000 0.0000 0.9873  4 Tc 2.77, 4 Au 2.91, 1 Mg 3.00
Au: 0.5000 0.5000 0.2637  4 Mg 2.77, 4 Au 2.91, 1 Tc 2.98

Properties
As for the space group: P4mm (99).

B:
Material: MgTcAu2
Method: DFT, PBE
State: optimized geometry

a b c (Å): 5.0409 5.0409 5.0672
angles (deg): 80.88 80.88 32.08
Closest atoms and distances in Å follow each position.
Fractional positions:
Au: 0.9950 0.9950 0.0281  5 Au 2.79-3.05, 3 Tc 2.81, 4 Mg 2.83-2.96
Mg: 0.5022 0.5022 0.5115  2 Mg 2.79, 7 Au 2.83-2.96, 3 Tc 2.92-3.04
Tc: 0.2482 0.2482 0.2320  2 Tc 2.79, 7 Au 2.81-2.90, 3 Mg 2.92-3.04
Au: 0.7546 0.7546 0.7284  5 Au 2.79-3.05, 3 Mg 2.83-2.84, 4 Tc 2.88-2.90

Properties
As for the space group: Cm (8).

Most stable: B. Least stable: A.

A:
Material: MgTc2Au
Method: DFT, PBE
State: optimized geometry

a b c (Å): 4.6998 4.6998 5.1427
angles (deg): 83.64 83.64 34.67
Closest atoms and distances in Å follow each position.
Fractional positions:
Mg: 0.2456 0.2456 0.2705  3 Au 2.60-2.73, 2 Mg 2.80, 3 Tc 2.83
Au: 0.4973 0.4973 0.4739  3 Mg 2.60-2.73, 2 Au 2.80, 2 Tc 2.89
Tc: 0.7546 0.7546 0.7901  3 Tc 2.50-2.72
Tc: 0.0025 0.0025 0.9655  3 Tc 2.50-2.72

Properties
As for the space group: Cm (8).

B:
Material: MgTc2Au
Method: DFT, PBE
State: optimized geometry

a b c (Å): 2.7867 4.4515 5.2151
angles (deg): 90.00 90.00 90.00
Closest atoms and distances in Å follow each position.
Fractional positions:
Au: 0.5000 0.5000 0.2500  2 Mg 2.61, 2 Au 2.79
Tc: 0.0000 0.0000 0.5254  1 Tc 2.34
Mg: 0.5000 0.5000 0.7500  2 Au 2.61, 2 Mg 2.79, 8 Tc 2.88
Tc: 0.0000 0.0000 0.9746  1 Tc 2.34

Properties
As for the space group: Pmmm (47).

Most stable: A. Least stable: B.